[1]
## LaHoCu2As4 (PBE)

Data for a relaxed structure of LaHoCu2As4.

a = 3.964 Å, b = 3.964 Å, c = 10.085 Å
α = 90.00°, β = 90.00°, γ = 90.00°
Fractional positions:
La  0.000  0.000  0.000
Ho  0.500  0.500  0.524
Cu  0.000  0.500  0.272
Cu  0.500  0.000  0.272
As  0.000  0.000  0.426
As  0.000  0.500  0.752
As  0.500  0.000  0.752
As  0.500  0.500  0.120

Computed properties:
The symmetry is P4mm.


[2]
## ErAsPdO (PBE)

Data for a relaxed structure of ErAsPdO.

a = 5.012 Å, b = 4.692 Å, c = 5.690 Å
α = 90.00°, β = 90.00°, γ = 90.00°
Fractional positions:
Er  0.000  0.228  0.000
Er  0.000  0.772  0.500
As  0.500  0.092  0.705
As  0.500  0.908  0.205
Pd  0.500  0.412  0.347
Pd  0.500  0.588  0.847
O  0.000  0.346  0.361
O  0.000  0.654  0.861

Computed properties:
The symmetry is Pmc2_1. For the energy above the most stable polymorph in this dataset, the calculation gives 371 meV/atom.


| no. | total DFT energy (no corrections) (eV/atom) |
| --- | --- |
| 1 | -5.2858 |
| 2 | -6.2955 |